# 1
K2MnCl | PBE | relaxed

a = 4.0184 Å, b = 4.0184 Å, c = 10.3555 Å
α = 90.00°, β = 90.00°, γ = 90.00°
With the nearest neighbours (Å) after each atom.
Positions (direct):
K  0.0000  0.0000  0.0000  4 Cl 3.06
K  0.5000  0.5000  0.4052  1 Cl 3.05
Mn  0.0000  0.0000  0.6394  5 K 3.73-3.74, 4 Mn 4.02
Cl  0.5000  0.5000  0.1108  5 K 3.05-3.06

Calculated values
magnetic moment = 4.67 μB per formula unit
calculated density = 1.67 g/cm3
formation energy (no corrections) = -0.2250 eV/atom


# 2
KMnCl4 | PBE | relaxed

a = 6.9125 Å, b = 6.9125 Å, c = 8.2839 Å
α = 90.00°, β = 90.00°, γ = 90.00°
With the nearest neighbours (Å) after each atom.
Positions (direct):
K  0.2500  0.7500  0.2500  4 Cl 3.25
K  0.7500  0.2500  0.7500  4 Cl 3.25
Mn  0.2500  0.7500  0.7500  4 Cl 2.22
Mn  0.7500  0.2500  0.2500  4 Cl 2.22
Cl  0.0010  0.2500  0.0823  1 Mn 2.22
Cl  0.2500  0.0010  0.5823  1 Mn 2.22
Cl  0.2500  0.4990  0.5823  1 Mn 2.22
Cl  0.4990  0.2500  0.0823  1 Mn 2.22
Cl  0.5010  0.7500  0.9177  1 Mn 2.22
Cl  0.7500  0.5010  0.4177  1 Mn 2.22
Cl  0.7500  0.9990  0.4177  1 Mn 2.22
Cl  0.9990  0.7500  0.9177  1 Mn 2.22

Calculated values
magnetic moment = 4.00 μB per formula unit
calculated density = 1.98 g/cm3
formation energy (no corrections) = -1.2429 eV/atom


Number 1: relative energy among the computed polymorphs 0.083 eV/atom, E_tot -14.11 eV per cell. Number 2: relative energy among the computed polymorphs 0.071 eV/atom, E_tot -50.22 eV per cell.